# 1
{
  "formula": "IrBr",
  "functional": "PBE-GGA",
  "state": "relaxed",
  "lattice": [[3.0103, 0.0000, 0.0000], [-1.5051, 2.6070, 0.0000], [0.0000, 0.0000, 4.4274]],
  "species": ["Ir", "Br"],
  "frac_coords": [[0.0000, 0.0000, 0.0000], [0.3333, 0.6667, 0.5000]],
  "relative_energy_ev_per_fu": 0.00
}

---

# 2
{
  "formula": "NaErAsO",
  "functional": "PBE-GGA",
  "state": "relaxed",
  "lattice": [[3.8571, 0.0000, 0.0000], [0.0000, 3.8571, 0.0000], [0.0000, 0.0000, 10.3427]],
  "species": ["Na", "Na", "Er", "Er", "As", "As", "O", "O"],
  "frac_coords": [[0.2500, 0.7500, 0.0000], [0.7500, 0.2500, 0.0000], [0.2500, 0.2500, 0.3949], [0.7500, 0.7500, 0.6051], [0.2500, 0.2500, 0.7878], [0.7500, 0.7500, 0.2122], [0.2500, 0.7500, 0.5000], [0.7500, 0.2500, 0.5000]],
  "relative_energy_ev_per_fu": 0.00
}